Arrangement one

{"formula": "NbTlCl6", "functional": "PBE", "state": "relaxed", "lattice": [[3.458, 1.997, 6.318], [-3.458, 1.997, 6.318], [0.000, -3.993, 6.318]], "species": ["Nb", "Tl", "Cl", "Cl", "Cl", "Cl", "Cl", "Cl"], "fractional_positions": [[0.000, 0.000, 0.000], [0.500, 0.500, 0.500], [0.089, 0.089, 0.603], [0.089, 0.603, 0.089], [0.397, 0.911, 0.911], [0.603, 0.089, 0.089], [0.911, 0.397, 0.911], [0.911, 0.911, 0.397]], "total_magnetization_mub_per_fu": 0.00, "vol_a3_per_cell": 262}

Arrangement two

{"formula": "NbTlCl6", "functional": "PBE", "state": "relaxed", "lattice": [[5.693, -4.142, 0.000], [5.693, 4.142, 0.000], [-0.092, 0.000, 10.936]], "species": ["Nb", "Nb", "Tl", "Tl", "Cl", "Cl", "Cl", "Cl", "Cl", "Cl", "Cl", "Cl", "Cl", "Cl", "Cl", "Cl"], "fractional_positions": [[0.000, 0.500, 0.000], [0.500, 0.000, 0.500], [0.015, 0.985, 0.750], [0.985, 0.015, 0.250], [0.138, 0.537, 0.195], [0.153, 0.195, 0.498], [0.195, 0.153, 0.998], [0.263, 0.584, 0.903], [0.416, 0.737, 0.597], [0.463, 0.862, 0.305], [0.537, 0.138, 0.695], [0.584, 0.263, 0.403], [0.737, 0.416, 0.097], [0.805, 0.847, 0.002], [0.847, 0.805, 0.502], [0.862, 0.463, 0.805]], "total_magnetization_mub_per_fu": 0.00, "vol_a3_per_cell": 516}

Order from most stable to least stable according to the calculation: arrangement two, arrangement one

Arrangement one

{"formula": "Nb3VCl", "functional": "PBE", "state": "relaxed", "lattice": [[4.737, 0.000, 0.000], [0.000, 4.737, 0.000], [0.000, 0.000, 4.737]], "species": ["Nb", "Nb", "Nb", "V", "Cl"], "fractional_positions": [[0.000, 0.000, 0.500], [0.000, 0.500, 0.000], [0.500, 0.000, 0.000], [0.000, 0.000, 0.000], [0.500, 0.500, 0.500]], "total_magnetization_mub_per_fu": 0.00, "vol_a3_per_cell": 106}

Arrangement two

{"formula": "Nb3VCl", "functional": "PBE", "state": "relaxed", "lattice": [[4.554, 0.000, 0.000], [0.000, 4.554, 0.000], [0.000, 0.000, 4.554]], "species": ["Nb", "Nb", "Nb", "V", "Cl"], "fractional_positions": [[0.000, 0.000, 0.500], [0.000, 0.500, 0.000], [0.500, 0.000, 0.000], [0.500, 0.500, 0.500], [0.000, 0.000, 0.000]], "total_magnetization_mub_per_fu": 1.29, "vol_a3_per_cell": 94}

Order from most stable to least stable according to the calculation: arrangement two, arrangement one

Arrangement one

{"formula": "NbVCl2", "functional": "PBE", "state": "relaxed", "lattice": [[-2.102, 2.102, 8.025], [2.102, -2.102, 8.025], [2.102, 2.102, -8.025]], "species": ["Nb", "Nb", "V", "V", "Cl", "Cl", "Cl", "Cl"], "fractional_positions": [[0.000, 0.000, 0.000], [0.750, 0.250, 0.500], [0.250, 0.750, 0.500], [0.500, 0.500, 0.000], [0.130, 0.625, 0.005], [0.375, 0.380, 0.505], [0.620, 0.125, 0.995], [0.875, 0.870, 0.495]], "total_magnetization_mub_per_fu": 1.36, "vol_a3_per_cell": 142}

Arrangement two

{"formula": "NbVCl2", "functional": "PBE", "state": "relaxed", "lattice": [[1.511, 0.873, 8.427], [-1.511, 0.873, 8.427], [0.000, -1.745, 8.427]], "species": ["Nb", "V", "Cl", "Cl"], "fractional_positions": [[0.000, 0.000, 0.000], [0.500, 0.500, 0.500], [0.101, 0.101, 0.101], [0.899, 0.899, 0.899]], "total_magnetization_mub_per_fu": 0.76, "vol_a3_per_cell": 67}

Order from most stable to least stable according to the calculation: arrangement two, arrangement one

Arrangement one

{"formula": "NbW3Cl", "functional": "PBE", "state": "relaxed", "lattice": [[4.866, 0.000, 0.000], [0.000, 4.866, 0.000], [0.000, 0.000, 4.866]], "species": ["Nb", "W", "W", "W", "Cl"], "fractional_positions": [[0.000, 0.000, 0.000], [0.000, 0.000, 0.500], [0.000, 0.500, 0.000], [0.500, 0.000, 0.000], [0.500, 0.500, 0.500]], "total_magnetization_mub_per_fu": 0.00, "vol_a3_per_cell": 115}

Arrangement two

{"formula": "NbW3Cl", "functional": "PBE", "state": "relaxed", "lattice": [[4.419, 0.000, 0.000], [0.000, 4.419, 0.000], [0.000, 0.000, 4.419]], "species": ["Nb", "W", "W", "W", "Cl"], "fractional_positions": [[0.000, 0.000, 0.000], [0.000, 0.500, 0.500], [0.500, 0.000, 0.500], [0.500, 0.500, 0.000], [0.500, 0.500, 0.500]], "total_magnetization_mub_per_fu": 0.00, "vol_a3_per_cell": 86}

Order from most stable to least stable according to the calculation: arrangement two, arrangement one